Version P
{"formula": "Hf2TlHg2", "functional": "PBE-GGA", "state": "relaxed", "mass_density_g_cm3": 13.503, "volume_a3_per_atom": 23.67, "cell": [[8.481, 0.000, 0.000], [0.000, 8.481, 0.000], [0.000, 0.000, 3.292]], "species": ["Hf", "Hf", "Hf", "Hf", "Tl", "Tl", "Hg", "Hg", "Hg", "Hg"], "fractional_positions": [[0.125, 0.375, 0.000], [0.375, 0.875, 0.000], [0.625, 0.125, 0.000], [0.875, 0.625, 0.000], [0.000, 0.000, 0.000], [0.500, 0.500, 0.000], [0.172, 0.672, 0.500], [0.328, 0.172, 0.500], [0.672, 0.828, 0.500], [0.828, 0.328, 0.500]]}



Version Q
{"formula": "Hf2TlHg2", "functional": "PBE-GGA", "state": "relaxed", "mass_density_g_cm3": 14.051, "volume_a3_per_atom": 22.75, "cell": [[8.194, 0.000, 0.000], [0.000, 8.194, 0.000], [0.000, 0.000, 3.388]], "species": ["Hf", "Hf", "Hf", "Hf", "Tl", "Tl", "Hg", "Hg", "Hg", "Hg"], "fractional_positions": [[0.173, 0.327, 0.000], [0.327, 0.827, 0.000], [0.673, 0.173, 0.000], [0.827, 0.673, 0.000], [0.000, 0.000, 0.500], [0.500, 0.500, 0.500], [0.126, 0.626, 0.500], [0.374, 0.126, 0.500], [0.626, 0.874, 0.500], [0.874, 0.374, 0.500]]}



What should be chosen as the most stable of them? Choose version P.



Version P
{"formula": "HfTlHg", "functional": "PBE-GGA", "state": "relaxed", "mass_density_g_cm3": 11.388, "volume_a3_per_atom": 28.36, "cell": [[0.000, 4.912, 7.304], [4.743, 0.000, 7.304], [4.743, 4.912, 0.000]], "species": ["Hf", "Hf", "Hf", "Hf", "Tl", "Tl", "Tl", "Tl", "Hg", "Hg", "Hg", "Hg"], "fractional_positions": [[0.035, 0.715, 0.715], [0.285, 0.965, 0.965], [0.715, 0.035, 0.035], [0.965, 0.285, 0.285], [0.000, 0.500, 0.500], [0.500, 0.000, 0.500], [0.500, 0.500, 0.000], [0.500, 0.500, 0.500], [0.043, 0.043, 0.707], [0.293, 0.293, 0.957], [0.707, 0.707, 0.043], [0.957, 0.957, 0.293]]}



Version Q
{"formula": "HfTlHg", "functional": "PBE-GGA", "state": "relaxed", "mass_density_g_cm3": 13.963, "volume_a3_per_atom": 23.13, "cell": [[-1.616, 1.616, 6.645], [1.616, -1.616, 6.645], [1.616, 1.616, -6.645]], "species": ["Hf", "Tl", "Hg"], "fractional_positions": [[0.000, 0.000, 0.000], [0.667, 0.667, 0.000], [0.348, 0.348, 0.000]]}



What should be chosen as the most stable of them? Choose version Q.



Version P
{"formula": "HfZrTlHg", "functional": "PBE-GGA", "state": "relaxed", "mass_density_g_cm3": 12.786, "volume_a3_per_atom": 21.91, "cell": [[4.348, 0.000, 0.000], [0.000, 4.446, 0.000], [0.000, 0.000, 4.533]], "species": ["Hf", "Zr", "Tl", "Hg"], "fractional_positions": [[0.000, 0.000, 0.000], [0.000, 0.500, 0.500], [0.500, 0.000, 0.500], [0.500, 0.500, 0.000]]}



Version Q
{"formula": "HfZrTlHg", "functional": "PBE-GGA", "state": "relaxed", "mass_density_g_cm3": 12.615, "volume_a3_per_atom": 22.20, "cell": [[0.000, 3.541, 3.541], [3.541, 0.000, 3.541], [3.541, 3.541, 0.000]], "species": ["Hf", "Zr", "Tl", "Hg"], "fractional_positions": [[0.000, 0.000, 0.000], [0.500, 0.500, 0.500], [0.750, 0.750, 0.750], [0.250, 0.250, 0.250]]}



What should be chosen as the most stable of them? Choose version P.



Version P
{"formula": "Tm2HfHg", "functional": "PBE-GGA", "state": "relaxed", "mass_density_g_cm3": 11.198, "volume_a3_per_atom": 26.58, "cell": [[1.643, 0.949, 11.364], [-1.643, 0.949, 11.364], [0.000, -1.898, 11.364]], "species": ["Tm", "Tm", "Hf", "Hg"], "fractional_positions": [[0.092, 0.092, 0.092], [0.908, 0.908, 0.908], [0.000, 0.000, 0.000], [0.500, 0.500, 0.500]]}



Version Q
{"formula": "Tm2HfHg", "functional": "PBE-GGA", "state": "relaxed", "mass_density_g_cm3": 11.790, "volume_a3_per_atom": 25.24, "cell": [[3.408, 0.000, 0.000], [0.000, 3.408, 0.000], [0.000, 0.000, 8.693]], "species": ["Tm", "Tm", "Hf", "Hg"], "fractional_positions": [[0.000, 0.000, 0.243], [0.000, 0.000, 0.757], [0.500, 0.500, 0.500], [0.500, 0.500, 0.000]]}



What should be chosen as the most stable of them? Choose version Q.



Version P
{"formula": "TmHfHg2", "functional": "PBE-GGA", "state": "relaxed", "mass_density_g_cm3": 13.566, "volume_a3_per_atom": 22.91, "cell": [[0.000, 3.578, 3.578], [3.578, 0.000, 3.578], [3.578, 3.578, 0.000]], "species": ["Tm", "Hf", "Hg", "Hg"], "fractional_positions": [[0.000, 0.000, 0.000], [0.500, 0.500, 0.500], [0.250, 0.250, 0.250], [0.750, 0.750, 0.750]]}



Version Q
{"formula": "TmHfHg2", "functional": "PBE-GGA", "state": "relaxed", "mass_density_g_cm3": 13.607, "volume_a3_per_atom": 22.84, "cell": [[3.584, 0.000, 0.000], [0.000, 3.584, 0.000], [0.000, 0.000, 7.112]], "species": ["Tm", "Hf", "Hg", "Hg"], "fractional_positions": [[0.000, 0.000, 0.000], [0.000, 0.000, 0.500], [0.500, 0.500, 0.263], [0.500, 0.500, 0.737]]}



What should be chosen as the most stable of them? Choose version Q.



Version P
{"formula": "Hf2UHg", "functional": "PBE-GGA", "state": "relaxed", "mass_density_g_cm3": 15.096, "volume_a3_per_atom": 21.88, "cell": [[0.000, 3.524, 3.524], [3.524, 0.000, 3.524], [3.524, 3.524, 0.000]], "species": ["Hf", "Hf", "U", "Hg"], "fractional_positions": [[0.250, 0.250, 0.250], [0.750, 0.750, 0.750], [0.000, 0.000, 0.000], [0.500, 0.500, 0.500]]}



Version Q
{"formula": "Hf2UHg", "functional": "PBE-GGA", "state": "relaxed", "mass_density_g_cm3": 15.114, "volume_a3_per_atom": 21.85, "cell": [[3.517, 0.000, 0.000], [0.000, 3.517, 0.000], [0.000, 0.000, 7.066]], "species": ["Hf", "Hf", "U", "Hg"], "fractional_positions": [[0.000, 0.000, 0.247], [0.000, 0.000, 0.753], [0.500, 0.500, 0.000], [0.500, 0.500, 0.500]]}



What should be chosen as the most stable of them? Choose version Q.



Version P
{"formula": "HfV3Hg", "functional": "PBE-GGA", "state": "relaxed", "mass_density_g_cm3": 7.476, "volume_a3_per_atom": 23.63, "cell": [[4.907, 0.000, 0.000], [0.000, 4.907, 0.000], [0.000, 0.000, 4.907]], "species": ["Hf", "V", "V", "V", "Hg"], "fractional_positions": [[0.000, 0.000, 0.000], [0.000, 0.500, 0.500], [0.500, 0.000, 0.500], [0.500, 0.500, 0.000], [0.500, 0.500, 0.500]]}



Version Q
{"formula": "HfV3Hg", "functional": "PBE-GGA", "state": "relaxed", "mass_density_g_cm3": 8.516, "volume_a3_per_atom": 20.74, "cell": [[4.698, 0.000, 0.000], [0.000, 4.698, 0.000], [0.000, 0.000, 4.698]], "species": ["Hf", "V", "V", "V", "Hg"], "fractional_positions": [[0.000, 0.000, 0.000], [0.000, 0.000, 0.500], [0.000, 0.500, 0.000], [0.500, 0.000, 0.000], [0.500, 0.500, 0.500]]}



What should be chosen as the most stable of them? Choose version Q.



Version P
{"formula": "Hf3VHg", "functional": "PBE-GGA", "state": "relaxed", "mass_density_g_cm3": 11.387, "volume_a3_per_atom": 22.95, "cell": [[4.860, 0.000, 0.000], [0.000, 4.860, 0.000], [0.000, 0.000, 4.860]], "species": ["Hf", "Hf", "Hf", "V", "Hg"], "fractional_positions": [[0.000, 0.000, 0.500], [0.000, 0.500, 0.000], [0.500, 0.000, 0.000], [0.000, 0.000, 0.000], [0.500, 0.500, 0.500]]}



Version Q
{"formula": "Hf3VHg", "functional": "PBE-GGA", "state": "relaxed", "mass_density_g_cm3": 9.397, "volume_a3_per_atom": 27.81, "cell": [[5.181, 0.000, 0.000], [0.000, 5.181, 0.000], [0.000, 0.000, 5.181]], "species": ["Hf", "Hf", "Hf", "V", "Hg"], "fractional_positions": [[0.000, 0.000, 0.500], [0.000, 0.500, 0.000], [0.500, 0.000, 0.000], [0.500, 0.500, 0.500], [0.000, 0.000, 0.000]]}



What should be chosen as the most stable of them? Choose version P.